# 1
{
  "formula": "MnTe4Rh2",
  "functional": "PBE",
  "state": "optimized geometry",
  "lattice_angstrom": [[3.988, 2.302, 6.504], [-3.988, 2.302, 6.504], [0.000, -4.605, 6.504]],
  "species": ["Mn", "Mn", "Te", "Te", "Te", "Te", "Te", "Te", "Te", "Te", "Rh", "Rh", "Rh", "Rh"],
  "frac_coords": [[0.125, 0.125, 0.125], [0.875, 0.875, 0.875], [0.263, 0.263, 0.263], [0.263, 0.263, 0.710], [0.263, 0.710, 0.263], [0.290, 0.737, 0.737], [0.710, 0.263, 0.263], [0.737, 0.290, 0.737], [0.737, 0.737, 0.290], [0.737, 0.737, 0.737], [0.000, 0.500, 0.500], [0.500, 0.000, 0.500], [0.500, 0.500, 0.000], [0.500, 0.500, 0.500]],
  "e_form_raw_kj_per_mol_fu": -195.9,
  "magmom_total_mub_per_fu": 4.46,
  "energy_ev_per_atom": -5.4956
}

# 2
{
  "formula": "Li2Al",
  "functional": "PBE",
  "state": "optimized geometry",
  "lattice_angstrom": [[-1.365, 2.156, 9.473], [1.365, -2.156, 9.473], [1.365, 2.156, -9.473]],
  "species": ["Li", "Li", "Li", "Li", "Al", "Al"],
  "frac_coords": [[0.288, 0.038, 0.250], [0.425, 0.175, 0.250], [0.575, 0.825, 0.750], [0.712, 0.962, 0.750], [0.145, 0.395, 0.750], [0.855, 0.605, 0.250]],
  "e_form_ev_per_atom": 0.005,
  "magmom_total_mub_per_fu": 0.00,
  "energy_ev_per_atom": -2.5186
}

# 3
{
  "formula": "Bi3AuS",
  "functional": "PBE",
  "state": "optimized geometry",
  "lattice_angstrom": [[5.536, 0.000, 0.000], [0.000, 5.536, 0.000], [0.000, 0.000, 5.536]],
  "species": ["Bi", "Bi", "Bi", "Au", "S"],
  "frac_coords": [[0.000, 0.000, 0.500], [0.000, 0.500, 0.000], [0.500, 0.000, 0.000], [0.000, 0.000, 0.000], [0.500, 0.500, 0.500]],
  "e_form_raw_kj_per_mol_fu": 350.8,
  "magmom_total_mub_per_fu": 0.00,
  "energy_ev_per_atom": -3.0825
}

# 4
{
  "formula": "Er4MnCd",
  "functional": "PBE",
  "state": "optimized geometry",
  "lattice_angstrom": [[4.327, -6.335, 0.000], [4.327, 6.335, 0.000], [-1.768, 0.000, 5.698]],
  "species": ["Er", "Er", "Er", "Er", "Er", "Er", "Er", "Er", "Mn", "Mn", "Cd", "Cd"],
  "frac_coords": [[0.063, 0.728, 0.953], [0.199, 0.361, 0.614], [0.272, 0.937, 0.547], [0.361, 0.199, 0.114], [0.639, 0.801, 0.886], [0.728, 0.063, 0.453], [0.801, 0.639, 0.386], [0.937, 0.272, 0.047], [0.001, 0.999, 0.750], [0.999, 0.001, 0.250], [0.375, 0.625, 0.250], [0.625, 0.375, 0.750]],
  "e_form_ev_per_atom": -0.057,
  "magmom_total_mub_per_fu": 0.56,
  "energy_ev_per_atom": -4.7796
}

# 5
{
  "formula": "SrCd2Br",
  "functional": "PBE",
  "state": "optimized geometry",
  "lattice_angstrom": [[3.035, -5.165, 0.000], [3.035, 5.165, 0.000], [0.000, 0.000, 4.185]],
  "species": ["Sr", "Cd", "Cd", "Br"],
  "frac_coords": [[0.000, 0.000, 0.000], [0.000, 0.500, 0.500], [0.500, 0.000, 0.500], [0.500, 0.500, 0.000]],
  "e_form_raw_kj_per_mol_fu": -221.0,
  "magmom_total_mub_per_fu": 0.00,
  "energy_ev_per_atom": -1.8689
}

# 6
{
  "formula": "Sc5Co3",
  "functional": "PBE",
  "state": "optimized geometry",
  "lattice_angstrom": [[9.974, 0.000, 0.000], [0.000, 9.974, 0.000], [0.000, 0.000, 5.736]],
  "species": ["Sc", "Sc", "Sc", "Sc", "Sc", "Sc", "Sc", "Sc", "Sc", "Sc", "Sc", "Sc", "Sc", "Sc", "Sc", "Sc", "Sc", "Sc", "Sc", "Sc", "Co", "Co", "Co", "Co", "Co", "Co", "Co", "Co", "Co", "Co", "Co", "Co"],
  "frac_coords": [[0.040, 0.165, 0.129], [0.040, 0.335, 0.629], [0.165, 0.040, 0.629], [0.165, 0.460, 0.129], [0.250, 0.750, 0.000], [0.250, 0.750, 0.500], [0.335, 0.040, 0.129], [0.335, 0.460, 0.629], [0.460, 0.165, 0.629], [0.460, 0.335, 0.129], [0.540, 0.665, 0.871], [0.540, 0.835, 0.371], [0.665, 0.540, 0.371], [0.665, 0.960, 0.871], [0.750, 0.250, 0.000], [0.750, 0.250, 0.500], [0.835, 0.540, 0.871], [0.835, 0.960, 0.371], [0.960, 0.665, 0.371], [0.960, 0.835, 0.871], [0.094, 0.594, 0.750], [0.094, 0.906, 0.250], [0.250, 0.250, 0.366], [0.250, 0.250, 0.866], [0.406, 0.594, 0.250], [0.406, 0.906, 0.750], [0.594, 0.094, 0.250], [0.594, 0.406, 0.750], [0.750, 0.750, 0.134], [0.750, 0.750, 0.634], [0.906, 0.094, 0.750], [0.906, 0.406, 0.250]],
  "e_form_ev_per_atom": -0.270,
  "magmom_total_mub_per_fu": 0.00,
  "energy_ev_per_atom": -6.8920
}

# 7
{
  "formula": "POs2PtF",
  "functional": "PBE",
  "state": "optimized geometry",
  "lattice_angstrom": [[4.419, 0.000, 0.000], [0.000, 4.419, 0.000], [0.000, 0.000, 4.445]],
  "species": ["P", "Os", "Os", "Pt", "F"],
  "frac_coords": [[0.000, 0.000, 0.000], [0.000, 0.500, 0.000], [0.500, 0.000, 0.000], [0.000, 0.000, 0.500], [0.500, 0.500, 0.500]],
  "e_form_raw_kj_per_mol_fu": 467.4,
  "magmom_total_mub_per_fu": 2.86,
  "energy_ev_per_atom": -6.1874
}

# 8
{
  "formula": "Th2Ge3",
  "functional": "PBE",
  "state": "optimized geometry",
  "lattice_angstrom": [[-2.080, 3.407, 4.279], [2.080, -3.407, 4.279], [2.080, 3.407, -4.279]],
  "species": ["Th", "Th", "Ge", "Ge", "Ge"],
  "frac_coords": [[0.231, 0.231, 0.000], [0.769, 0.769, 0.000], [0.194, 0.500, 0.694], [0.500, 0.000, 0.500], [0.806, 0.500, 0.306]],
  "e_form_ev_per_atom": -0.674,
  "magmom_total_mub_per_fu": 0.00,
  "energy_ev_per_atom": -6.4128
}

# 9
{
  "formula": "Sm2Ga3Fe14C2",
  "functional": "PBE",
  "state": "optimized geometry",
  "lattice_angstrom": [[4.886, -4.330, 0.000], [4.886, 4.330, 0.000], [-0.942, 0.000, 6.456]],
  "species": ["Sm", "Sm", "Ga", "Ga", "Ga", "Fe", "Fe", "Fe", "Fe", "Fe", "Fe", "Fe", "Fe", "Fe", "Fe", "Fe", "Fe", "Fe", "Fe", "C", "C"],
  "frac_coords": [[0.150, 0.150, 0.335], [0.850, 0.850, 0.665], [0.000, 0.500, 0.000], [0.500, 0.000, 0.000], [0.500, 0.500, 0.500], [0.153, 0.649, 0.344], [0.156, 0.156, 0.847], [0.214, 0.499, 0.713], [0.215, 0.785, 0.000], [0.351, 0.847, 0.656], [0.408, 0.408, 0.095], [0.499, 0.214, 0.713], [0.501, 0.786, 0.287], [0.592, 0.592, 0.905], [0.649, 0.153, 0.344], [0.785, 0.215, 0.000], [0.786, 0.501, 0.287], [0.844, 0.844, 0.153], [0.847, 0.351, 0.656], [0.000, 0.500, 0.500], [0.500, 0.000, 0.500]],
  "e_form_ev_per_atom": -0.124,
  "magmom_total_mub_per_fu": 26.02,
  "energy_ev_per_atom": -7.5258
}

# 10
{
  "formula": "KAcSb2",
  "functional": "PBE",
  "state": "optimized geometry",
  "lattice_angstrom": [[0.000, 4.099, 4.099], [4.099, 0.000, 4.099], [4.099, 4.099, 0.000]],
  "species": ["K", "Ac", "Sb", "Sb"],
  "frac_coords": [[0.000, 0.000, 0.000], [0.500, 0.500, 0.500], [0.250, 0.250, 0.250], [0.750, 0.750, 0.750]],
  "e_form_raw_kj_per_mol_fu": -209.2,
  "magmom_total_mub_per_fu": 0.00,
  "energy_ev_per_atom": -3.9047
}

# 11
{
  "formula": "DyMg2ZnAu4",
  "functional": "PBE",
  "state": "optimized geometry",
  "lattice_angstrom": [[2.320, 1.339, 8.276], [-2.320, 1.339, 8.276], [0.000, -2.679, 8.276]],
  "species": ["Dy", "Mg", "Mg", "Zn", "Au", "Au", "Au", "Au"],
  "frac_coords": [[0.000, 0.000, 0.000], [0.242, 0.242, 0.242], [0.758, 0.758, 0.758], [0.500, 0.500, 0.500], [0.127, 0.127, 0.127], [0.391, 0.391, 0.391], [0.609, 0.609, 0.609], [0.873, 0.873, 0.873]],
  "e_form_ev_per_atom": -0.579,
  "magmom_total_mub_per_fu": 0.00,
  "energy_ev_per_atom": -3.3510
}

# 12
{
  "formula": "SmDyIr",
  "functional": "PBE",
  "state": "optimized geometry",
  "lattice_angstrom": [[4.627, 0.000, 0.000], [0.000, 6.472, 3.741], [0.000, -6.472, 3.741]],
  "species": ["Sm", "Sm", "Sm", "Dy", "Dy", "Dy", "Ir", "Ir", "Ir"],
  "frac_coords": [[0.000, 0.000, 0.000], [0.000, 0.409, 0.819], [0.000, 0.819, 0.409], [0.500, 0.149, 0.410], [0.500, 0.410, 0.149], [0.500, 0.670, 0.670], [0.000, 0.409, 0.409], [0.500, 0.076, 0.743], [0.500, 0.743, 0.076]],
  "e_form_ev_per_atom": -0.635,
  "magmom_total_mub_per_fu": 0.00,
  "energy_ev_per_atom": -6.6954
}

# 13
{
  "formula": "Cu17Ge2",
  "functional": "PBE",
  "state": "optimized geometry",
  "lattice_angstrom": [[4.174, 2.410, 4.191], [-4.174, 2.410, 4.191], [0.000, -4.819, 4.191]],
  "species": ["Cu", "Cu", "Cu", "Cu", "Cu", "Cu", "Cu", "Cu", "Cu", "Cu", "Cu", "Cu", "Cu", "Cu", "Cu", "Cu", "Cu", "Ge", "Ge"],
  "frac_coords": [[0.000, 0.000, 0.500], [0.000, 0.310, 0.690], [0.000, 0.500, 0.000], [0.000, 0.690, 0.310], [0.098, 0.098, 0.098], [0.158, 0.655, 0.655], [0.310, 0.000, 0.690], [0.310, 0.690, 0.000], [0.345, 0.345, 0.842], [0.345, 0.842, 0.345], [0.500, 0.000, 0.000], [0.655, 0.158, 0.655], [0.655, 0.655, 0.158], [0.690, 0.000, 0.310], [0.690, 0.310, 0.000], [0.842, 0.345, 0.345], [0.902, 0.902, 0.902], [0.330, 0.330, 0.330], [0.670, 0.670, 0.670]],
  "e_form_ev_per_atom": 0.150,
  "magmom_total_mub_per_fu": 0.00,
  "energy_ev_per_atom": -4.0014
}

# 14
{
  "formula": "Ac7SnGe3",
  "functional": "PBE",
  "state": "optimized geometry",
  "lattice_angstrom": [[4.930, -5.823, 0.000], [4.930, 5.823, 0.000], [-2.267, 0.000, 7.080]],
  "species": ["Ac", "Ac", "Ac", "Ac", "Ac", "Ac", "Ac", "Sn", "Ge", "Ge", "Ge"],
  "frac_coords": [[0.000, 0.000, 0.000], [0.115, 0.537, 0.287], [0.338, 0.338, 0.802], [0.463, 0.885, 0.713], [0.537, 0.115, 0.287], [0.662, 0.662, 0.198], [0.885, 0.463, 0.713], [0.000, 0.000, 0.500], [0.272, 0.728, 0.000], [0.500, 0.500, 0.500], [0.728, 0.272, 0.000]],
  "e_form_ev_per_atom": -0.454,
  "magmom_total_mub_per_fu": 0.00,
  "energy_ev_per_atom": -4.6918
}

# 15
{
  "formula": "BiOF3",
  "functional": "PBE",
  "state": "optimized geometry",
  "lattice_angstrom": [[7.749, 0.000, 0.000], [0.000, 7.414, 0.000], [-5.235, 0.000, 7.394]],
  "species": ["Bi", "Bi", "Bi", "Bi", "O", "O", "O", "O", "F", "F", "F", "F", "F", "F", "F", "F", "F", "F", "F", "F"],
  "frac_coords": [[0.065, 0.250, 0.029], [0.065, 0.250, 0.529], [0.935, 0.750, 0.471], [0.935, 0.750, 0.971], [0.480, 0.081, 0.490], [0.480, 0.419, 0.990], [0.520, 0.581, 0.010], [0.520, 0.919, 0.510], [0.037, 0.241, 0.765], [0.037, 0.259, 0.265], [0.196, 0.561, 0.108], [0.196, 0.939, 0.608], [0.197, 0.561, 0.592], [0.197, 0.939, 0.092], [0.803, 0.061, 0.908], [0.803, 0.439, 0.408], [0.804, 0.061, 0.392], [0.804, 0.439, 0.892], [0.963, 0.741, 0.735], [0.963, 0.759, 0.235]],
  "e_form_raw_kj_per_mol_fu": -916.9,
  "magmom_total_mub_per_fu": 1.00,
  "energy_ev_per_atom": -4.7912
}

# 16
{
  "formula": "NaPm3Tc",
  "functional": "PBE",
  "state": "optimized geometry",
  "lattice_angstrom": [[5.527, 0.000, 0.000], [0.000, 5.527, 0.000], [0.000, 0.000, 5.527]],
  "species": ["Na", "Pm", "Pm", "Pm", "Tc"],
  "frac_coords": [[0.000, 0.000, 0.000], [0.000, 0.500, 0.500], [0.500, 0.000, 0.500], [0.500, 0.500, 0.000], [0.500, 0.500, 0.500]],
  "e_form_ev_per_atom": 0.196,
  "magmom_total_mub_per_fu": 0.00,
  "energy_ev_per_atom": -4.9918
}